The following is a DFT calculation (PBE) of an optimized crystal structure of Pa2Co3NiH12.

The calculation puts the total DFT energy (no corrections) at -0.18000 Ha/atom.

The structure belongs to space group R-3m (No. 166, hexagonal axes); the cell edges are 5.7521, 5.7521 and 14.1476 Å and the angles 90.00°, 90.00° and 120.00°. The inequivalent atoms are Pa at (0.0000, 0.0000, 0.1204), Co at (0.0000, 0.5000, 0.0000), Ni at (0.0000, 0.0000, 0.5000), H at (0.0328, 0.5164, 0.3520) and H at (0.0377, 0.5188, 0.1129).

***

The following is a DFT calculation (PBE) of an optimized crystal structure of CeTmIrRu.

Its calculated formation energy is -0.5893 eV per atom. As for the relative energy among the computed polymorphs: 0.012 eV per atom.

The structure belongs to space group F-43m (No. 216); the cell edges are 6.8542, 6.8542 and 6.8542 Å and the angles 90.00°, 90.00° and 90.00°. The inequivalent atoms are Ce at (0.0000, 0.0000, 0.0000), Tm at (0.0000, 0.0000, 0.5000), Ir at (0.2500, 0.2500, 0.7500) and Ru at (0.2500, 0.2500, 0.2500).

***

The following is a DFT calculation (PBE) of an optimized crystal structure of K2RbTlPb.

Its calculated formation energy is 0.5481 eV per atom. As for the relative energy among the computed polymorphs: 0.537 eV per atom.

The structure belongs to space group P4/mmm (No. 123); the cell edges are 6.6866, 6.6866 and 6.3166 Å and the angles 90.00°, 90.00° and 90.00°. The inequivalent atoms are K at (0.0000, 0.5000, 0.0000), Rb at (0.0000, 0.0000, 0.0000), Tl at (0.0000, 0.0000, 0.5000) and Pb at (0.5000, 0.5000, 0.5000).

***

Number 1: calculated volume 405.4 Å³ per cell, total magnetic moment 15.58 Bohr magnetons per cell. Number 2: calculated volume 322.0 Å³ per cell, total magnetic moment 0.54 Bohr magnetons per cell. Number 3: calculated volume 282.4 Å³ per cell, total magnetic moment 0.00 Bohr magnetons per cell.